Na2PmNpO6: relaxed, PBE.

Its uncorrected formation energy is -2.594 eV per atom.

The structure belongs to space group P2_1/c (No. 14); the cell edges are 5.822, 5.992 and 10.192 Å and the angles 90.00°, 124.81° and 90.00°. Symmetry generates all atoms from Na at (0.246, 0.038, 0.253), Pm at (0.500, 0.000, 0.000), Np at (0.000, 0.000, 0.500), O at (0.114, 0.218, 0.941), O at (0.236, 0.679, 0.950) and O at (0.333, 0.044, 0.730).

NaPmNp2O8: relaxed, PBE.

Its uncorrected formation energy is -2.715 eV per atom.

The structure belongs to space group I-4m2 (No. 119); the cell edges are 5.394, 5.394 and 10.395 Å and the angles 90.00°, 90.00° and 90.00°. Symmetry generates all atoms from Na at (0.000, 0.000, 0.000), Pm at (0.000, 0.500, 0.750), Np at (0.000, 0.000, 0.500), Np at (0.000, 0.500, 0.250) and O at (0.221, 0.247, 0.374).

Na4Pm3NpO8: relaxed, PBE.

Its uncorrected formation energy is -2.533 eV per atom.

The structure belongs to space group R-3m (No. 166, hexagonal axes); the cell edges are 7.0741, 7.0741 and 16.9672 Å and the angles 90.00°, 90.00° and 120.00°. Symmetry generates all atoms from Na at (0.0000, 0.0000, 0.0000), Na at (0.0000, 0.5000, 0.0000), Pm at (0.0000, 0.5000, 0.5000), Np at (0.0000, 0.0000, 0.5000), O at (0.0000, 0.0000, 0.2387) and O at (0.0060, 0.5030, 0.2391).

Na2PmNpO4: relaxed, PBE.

Its uncorrected formation energy is -2.423 eV per atom.

The structure belongs to space group P2/m (No. 10); the cell edges are 6.022, 3.529 and 6.081 Å and the angles 90.00°, 109.80° and 90.00°. Symmetry generates all atoms from Na at (0.000, 0.000, 0.000), Na at (0.000, 0.500, 0.500), Pm at (0.500, 0.000, 0.500), Np at (0.500, 0.500, 0.000), O at (0.281, 0.500, 0.256) and O at (0.283, 0.000, 0.770).